## Fe5Pt6W (GGA-PBE)

Data for Fe5Pt6W after structural relaxation.

CIF file:
```
data_Fe5Pt6W
_chemical_formula_sum 'Fe10 Pt12 W2'
_cell_length_a 3.856
_cell_length_b 11.577
_cell_length_c 7.668
_cell_angle_alpha 90.00
_cell_angle_beta 90.00
_cell_angle_gamma 90.00
_space_group_name_H-M_alt 'C m m m'
_space_group_IT_number 65
_space_group_name_Hall '-C 2 2'
loop_
_atom_site_label
_atom_site_type_symbol
_atom_site_fract_x
_atom_site_fract_y
_atom_site_fract_z
_atom_site_occupancy
Fe1 Fe 0.000 0.000 0.000 1
Fe2 Fe 0.000 0.334 0.500 1
Fe3 Fe 0.000 0.335 0.000 1
Pt1 Pt 0.000 0.167 0.249 1
Pt2 Pt 0.000 0.500 0.251 1
W1 W 0.000 0.000 0.500 1
```

## Properties
ΔH_f (0 K)   -2.940 eV/f.u.

## LaSnOs (GGA-PBE)

Data for LaSnOs after structural relaxation.

CIF file:
```
data_LaSnOs
_chemical_formula_sum 'La2 Sn2 Os2'
_cell_length_a 5.465
_cell_length_b 4.305
_cell_length_c 7.106
_cell_angle_alpha 90.00
_cell_angle_beta 95.84
_cell_angle_gamma 90.00
_space_group_name_H-M_alt 'P 1 m 1'
_space_group_IT_number 6
_space_group_name_Hall 'P -2y'
loop_
_atom_site_label
_atom_site_type_symbol
_atom_site_fract_x
_atom_site_fract_y
_atom_site_fract_z
_atom_site_occupancy
La1 La 0.000 0.000 0.000 1
La2 La 0.389 0.000 0.511 1
Sn1 Sn 0.499 0.500 0.900 1
Sn2 Sn 0.909 0.500 0.636 1
Os1 Os 0.706 0.500 0.250 1
Os2 Os 0.850 0.000 0.382 1
```

## Properties
ΔH_f (0 K)   -0.610 eV/f.u.

## LiNd2In2 (GGA-PBE)

Data for LiNd2In2 after structural relaxation.

CIF file:
```
data_LiNd2In2
_chemical_formula_sum 'Li4 Nd8 In8'
_cell_length_a 6.745
_cell_length_b 13.238
_cell_length_c 6.497
_cell_angle_alpha 90.00
_cell_angle_beta 90.00
_cell_angle_gamma 90.00
_space_group_name_H-M_alt 'I b a m'
_space_group_IT_number 72
_space_group_name_Hall '-I 2 2c'
loop_
_atom_site_label
_atom_site_type_symbol
_atom_site_fract_x
_atom_site_fract_y
_atom_site_fract_z
_atom_site_occupancy
Li1 Li 0.000 0.000 0.250 1
Nd1 Nd 0.209 0.352 0.000 1
In1 In 0.229 0.109 0.000 1
```

## Properties
ΔH_f (0 K)   -1.070 eV/f.u.

## TaAl2Sb (GGA-PBE)

Data for TaAl2Sb after structural relaxation.

CIF file:
```
data_TaAl2Sb
_chemical_formula_sum 'Ta2 Al4 Sb2'
_cell_length_a 3.715
_cell_length_b 4.404
_cell_length_c 8.968
_cell_angle_alpha 90.00
_cell_angle_beta 90.00
_cell_angle_gamma 90.00
_space_group_name_H-M_alt 'I m m m'
_space_group_IT_number 71
_space_group_name_Hall '-I 2 2'
loop_
_atom_site_label
_atom_site_type_symbol
_atom_site_fract_x
_atom_site_fract_y
_atom_site_fract_z
_atom_site_occupancy
Ta1 Ta 0.000 0.000 0.000 1
Al1 Al 0.000 0.500 0.254 1
Sb1 Sb 0.000 0.000 0.500 1
```

## Properties
Energy relative to the elements, uncorrected   0.14 eV/atom

no.,size of the total moment (μB/atom)
1,1.25
2,0.00
3,0.00
4,0.00